# SmTh2Ni2

SmTh2Ni2 after structural relaxation (PBE, Alexandria).

```
10
Lattice="7.9053 0.0000 0.0000 0.0000 7.9053 0.0000 0.0000 0.0000 3.7312" Properties=species:S:1:pos:R:3 pbc="T T T"
Sm 0.0000 0.0000 0.0000
Sm 3.9526 3.9526 0.0000
Th 1.2949 2.6577 1.8656
Th 2.6577 6.6103 1.8656
Th 5.2475 1.2949 1.8656
Th 6.6103 5.2475 1.8656
Ni 0.9579 4.9106 0.0000
Ni 2.9947 0.9579 0.0000
Ni 4.9106 6.9473 0.0000
Ni 6.9473 2.9947 0.0000
```

Summary:
DOS at the Fermi energy, states/eV/f.u.: 5.7
M_tot, μB per cell: 0.0
Symmetry: P4/mbm (127)
Formation energy, eV per atom: -0.30
Volume, Å³ per atom: 23.32


# Tb2DyY3Sb6

Tb2DyY3Sb6 after structural relaxation (PBE, Alexandria).

```
12
Lattice="3.8060 -6.5923 0.0000 3.8060 6.5923 0.0000 -2.5347 0.0000 7.1730" Properties=species:S:1:pos:R:3 pbc="T T T"
Tb 3.8060 4.3971 0.0000
Tb 3.8060 -4.3971 0.0000
Dy 3.8060 0.0000 0.0000
Y -1.2673 0.0000 3.5865
Y 2.5387 2.2024 3.5865
Y 2.5387 -2.2024 3.5865
Sb 0.0050 2.1931 5.3794
Sb 1.2753 0.0000 1.7970
Sb 0.0050 -2.1931 5.3794
Sb 5.0724 2.1931 1.7937
Sb 3.8020 0.0000 5.3760
Sb 5.0724 -2.1931 1.7937
```

Summary:
DOS at the Fermi energy, states/eV/f.u.: 2.2
Final energy, eV for the cell shown: -71.84
M_tot, μB per cell: 0.0
Symmetry: C2/m (12)
Volume, Å³ per atom: 30.00


# Ca2In3Ga2

Ca2In3Ga2 after structural relaxation (PBE, Alexandria).

```
14
Lattice="11.1034 0.0000 0.0000 0.0000 4.5261 0.0000 -0.9471 0.0000 6.9801" Properties=species:S:1:pos:R:3 pbc="T T T"
Ca 1.0492 0.0000 2.3394
Ca 3.5554 2.2630 4.6407
Ca 6.6009 2.2630 2.3394
Ca 9.1071 0.0000 4.6407
In 0.0000 2.2630 0.0000
In 1.3445 0.0000 5.9188
In 3.2601 2.2630 1.0613
In 5.5517 0.0000 0.0000
In 6.8962 2.2630 5.9188
In 8.8118 0.0000 1.0613
Ga 0.3766 2.2630 4.4538
Ga 4.2280 0.0000 2.5264
Ga 5.9283 0.0000 4.4538
Ga 9.7797 2.2630 2.5264
```

Summary:
DOS at the Fermi energy, states/eV/f.u.: 2.9
M_tot, μB per cell: 0.0
Symmetry: C2/m (12)
Formation energy, eV per atom: -0.37
Volume, Å³ per atom: 25.06


# Li2Er2Cd3

Li2Er2Cd3 after structural relaxation (PBE, Alexandria).

```
14
Lattice="3.5234 0.0000 0.0000 0.0000 26.6473 0.0000 0.0000 0.0000 3.4040" Properties=species:S:1:pos:R:3 pbc="T T T"
Li 0.0000 5.6276 0.0000
Li 0.0000 21.0198 0.0000
Li 1.7617 7.6961 0.0000
Li 1.7617 18.9512 0.0000
Er 0.0000 2.1288 0.0000
Er 0.0000 24.5185 0.0000
Er 1.7617 11.1948 0.0000
Er 1.7617 15.4525 0.0000
Cd 0.0000 9.1075 1.7020
Cd 0.0000 13.3237 1.7020
Cd 0.0000 17.5398 1.7020
Cd 1.7617 0.0000 1.7020
Cd 1.7617 4.2161 1.7020
Cd 1.7617 22.4312 1.7020
```

Summary:
DOS at the Fermi energy, states/eV/f.u.: 3.2
M_tot, μB per cell: 0.0
Symmetry: Cmmm (65)
Formation energy, eV per atom: -0.23
Volume, Å³ per atom: 22.83


Question: Which value of DOS at the Fermi energy does entry 4 give?
Answer: 3.2 states/eV/f.u.


Question: volume of number 4 (Li2Er2Cd3)?
Answer: 22.83 Å³ per atom


Question: Look up the M_tot of the second one.
Answer: 0.0 μB per cell